1.
VASP calculation (PBE) on a relaxed structure of Sr2TbMoN4.

POSCAR file:
```
Sr2TbMoN4
1.0
5.588 0.000 0.000
0.000 7.020 0.000
0.000 0.000 7.664
N Mo Sr Tb
8 2 4 2
Direct
0.930 0.284 0.212 N
0.888 0.895 0.000 N
0.430 0.716 0.288 N
0.336 0.137 0.000 N
0.930 0.284 0.788 N
0.388 0.105 0.500 N
0.836 0.863 0.500 N
0.430 0.716 0.712 N
0.502 0.848 0.500 Mo
0.002 0.152 0.000 Mo
0.466 0.339 0.247 Sr
0.966 0.661 0.253 Sr
0.966 0.661 0.747 Sr
0.466 0.339 0.753 Sr
0.980 0.155 0.500 Tb
0.480 0.845 0.000 Tb
```

Space group: Pmn2_1, No. 31
Spin magnetization: 0.991 μB per formula unit
Raw formation energy: -0.93 eV per atom
Fermi-level density of states: 2.1 states/eV/f.u.
VASP energy: -7.444 eV per atom
Volume: 18.8 A^3/atom



2.
VASP calculation (PBE) on a relaxed structure of SrAg3Sn3.

POSCAR file:
```
SrAg3Sn3
1.0
6.928 0.000 3.504
2.578 6.430 3.504
0.204 0.138 8.197
Ag Sr Sn
6 2 6
Direct
0.696 0.696 0.530 Ag
0.079 0.696 0.530 Ag
0.696 0.079 0.530 Ag
0.304 0.921 0.470 Ag
0.921 0.304 0.470 Ag
0.304 0.304 0.470 Ag
0.392 0.392 0.824 Sr
0.608 0.608 0.176 Sr
0.082 0.082 0.192 Sn
0.356 0.918 0.808 Sn
0.644 0.082 0.192 Sn
0.918 0.918 0.808 Sn
0.918 0.356 0.808 Sn
0.082 0.644 0.192 Sn
```

Space group: R-3m, No. 166
Spin magnetization: 0.000 μB per formula unit
ΔH_f (0 K): -165 meV/atom
Fermi-level density of states: 4.0 states/eV/f.u.
VASP energy: -3.343 eV per atom
Volume: 25.6 A^3/atom



3.
VASP calculation (PBE) on a relaxed structure of DyB2Rh7.

POSCAR file:
```
DyB2Rh7
1.0
-1.729 2.761 -2.546
-4.498 1.165 4.318
5.090 3.738 0.597
Rh Dy B
7 1 2
Direct
0.500 0.944 0.674 Rh
0.000 0.297 0.703 Rh
0.500 0.500 0.500 Rh
0.500 0.326 0.056 Rh
0.500 0.056 0.326 Rh
0.500 0.674 0.944 Rh
0.000 0.703 0.297 Rh
0.000 0.000 0.000 Dy
0.500 0.703 0.297 B
0.500 0.297 0.703 B
```

Space group: Cmmm, No. 65
Spin magnetization: 0.000 μB per formula unit
ΔH_f (0 K): -96 meV/atom
Fermi-level density of states: 13.2 states/eV/f.u.
VASP energy: -7.038 eV per atom
Volume: 15.3 A^3/atom